# 1
# Cr2ReBiMo (GGA-PBE, optimized geometry)
data_Cr2ReBiMo
_chemical_formula_sum 'Cr2 Re1 Bi1 Mo1'
_cell_length_a 4.6580
_cell_length_b 4.6580
_cell_length_c 4.9796
_cell_angle_alpha 90.00
_cell_angle_beta 90.00
_cell_angle_gamma 90.00
_space_group_name_H-M_alt 'P 1'
_space_group_IT_number 1
loop_
_space_group_symop_operation_xyz
'x,y,z'
loop_
_atom_site_label
_atom_site_type_symbol
_atom_site_fract_x
_atom_site_fract_y
_atom_site_fract_z
Cr1 Cr 0.0000 0.5000 0.0000
Cr2 Cr 0.5000 0.0000 0.0000
Re1 Re 0.0000 0.0000 0.5000
Bi1 Bi 0.5000 0.5000 0.0000
Mo1 Mo 0.5000 0.5000 0.5000
# Formation energy ... 2895 meV per atom
# DOS at the Fermi energy ... 8.83 states/eV/f.u.

***

# 2
# ReIrW3 (GGA-PBE, optimized geometry)
data_ReIrW3
_chemical_formula_sum 'Re1 Ir1 W3'
_cell_length_a 4.6762
_cell_length_b 4.6762
_cell_length_c 4.6762
_cell_angle_alpha 90.00
_cell_angle_beta 90.00
_cell_angle_gamma 90.00
_space_group_name_H-M_alt 'P 1'
_space_group_IT_number 1
loop_
_space_group_symop_operation_xyz
'x,y,z'
loop_
_atom_site_label
_atom_site_type_symbol
_atom_site_fract_x
_atom_site_fract_y
_atom_site_fract_z
Re1 Re 0.0000 0.0000 0.0000
Ir1 Ir 0.5000 0.5000 0.5000
W1 W 0.0000 0.0000 0.5000
W2 W 0.0000 0.5000 0.0000
W3 W 0.5000 0.0000 0.0000
# Energy above the most stable polymorph in this dataset ... 0 meV per atom
# Formation energy ... 2169 meV per atom
# DOS at the Fermi energy ... 4.92 states/eV/f.u.

***

# 3
# InIrPb2 (GGA-PBE, optimized geometry)
data_InIrPb2
_chemical_formula_sum 'In1 Ir1 Pb2'
_cell_length_a 3.2723
_cell_length_b 3.5126
_cell_length_c 8.6307
_cell_angle_alpha 90.00
_cell_angle_beta 90.00
_cell_angle_gamma 90.00
_space_group_name_H-M_alt 'P 1'
_space_group_IT_number 1
loop_
_space_group_symop_operation_xyz
'x,y,z'
loop_
_atom_site_label
_atom_site_type_symbol
_atom_site_fract_x
_atom_site_fract_y
_atom_site_fract_z
In1 In 0.0000 0.0000 0.0000
Ir1 Ir 0.0000 0.0000 0.5000
Pb1 Pb 0.5000 0.5000 0.3015
Pb2 Pb 0.5000 0.5000 0.6985
# Formation energy ... 205 meV per atom
# DOS at the Fermi energy ... 2.84 states/eV/f.u.